Version A
DFT (PBE) results for KTeP2O after structural relaxation.

CIF file:
```
data_KTeP2O
_cell_length_a 5.475
_cell_length_b 5.475
_cell_length_c 4.102
_cell_angle_alpha 90.00
_cell_angle_beta 90.00
_cell_angle_gamma 90.00
_space_group_name_H-M_alt 'P 4/m m m'
_space_group_IT_number 123
_space_group_name_Hall '-P 4 2'
loop_
_atom_site_label
_atom_site_type_symbol
_atom_site_fract_x
_atom_site_fract_y
_atom_site_fract_z
K1 K 0.000 0.000 0.000
Te1 Te 0.500 0.500 0.500
P1 P 0.000 0.500 0.000
O1 O 0.000 0.000 0.500
```

***

Version B
DFT (PBE) results for KTeP2O after structural relaxation.

CIF file:
```
data_KTeP2O
_cell_length_a 5.380
_cell_length_b 5.380
_cell_length_c 4.188
_cell_angle_alpha 90.00
_cell_angle_beta 90.00
_cell_angle_gamma 90.00
_space_group_name_H-M_alt 'P 4/m m m'
_space_group_IT_number 123
_space_group_name_Hall '-P 4 2'
loop_
_atom_site_label
_atom_site_type_symbol
_atom_site_fract_x
_atom_site_fract_y
_atom_site_fract_z
K1 K 0.000 0.000 0.000
Te1 Te 0.500 0.500 0.500
P1 P 0.000 0.500 0.500
O1 O 0.500 0.500 0.000
```

***

Relative to the most stable structure, the computed energies are version A 1207; version B 0, all in meV/atom.

***

Version A
DFT (PBE) results for KTi2P3O12 after structural relaxation.

CIF file:
```
data_KTi2P3O12
_cell_length_a 9.941
_cell_length_b 9.941
_cell_length_c 9.941
_cell_angle_alpha 90.00
_cell_angle_beta 90.00
_cell_angle_gamma 90.00
_space_group_name_H-M_alt 'P 21 3'
_space_group_IT_number 198
_space_group_name_Hall 'P 2ac 2ab 3'
loop_
_atom_site_label
_atom_site_type_symbol
_atom_site_fract_x
_atom_site_fract_y
_atom_site_fract_z
K1 K 0.076 0.076 0.076
Ti1 Ti 0.087 0.913 0.413
Ti2 Ti 0.139 0.361 0.639
P1 P 0.045 0.727 0.125
O1 O 0.003 0.080 0.354
O2 O 0.019 0.961 0.801
O3 O 0.026 0.803 0.260
O4 O 0.083 0.194 0.729
```

***

Version B
DFT (PBE) results for KTi2P3O12 after structural relaxation.

CIF file:
```
data_KTi2P3O12
_cell_length_a 8.5060
_cell_length_b 8.5060
_cell_length_c 23.3063
_cell_angle_alpha 90.00
_cell_angle_beta 90.00
_cell_angle_gamma 120.00
_space_group_name_H-M_alt 'R -3 c'
_space_group_IT_number 167
_space_group_name_Hall '-R 3 2"c'
loop_
_atom_site_label
_atom_site_type_symbol
_atom_site_fract_x
_atom_site_fract_y
_atom_site_fract_z
K1 K 0.0000 0.0000 0.0000
Ti1 Ti 0.0000 0.0000 0.1492
P1 P 0.0000 0.2820 0.2500
O1 O 0.0304 0.1981 0.9022
O2 O 0.0512 0.2073 0.1972
```

***

Relative to the most stable structure, the computed energies are version A 13; version B 0, all in meV/atom.